No. 1
! LiAl2Cl PBE-GGA relaxed; values from VASP
! * space-group type: No. 71
! * energy above the lowest structure with this stoichiometry: 63.4 meV per atom
! * density: 1709 kg/m³
! * crystal system: orthorhombic
! * DFT total energy: -13.0 eV per cell
! * E_form (uncorrected): -1.73 eV per formula unit
! * volume: 94 Å³/cell
&SYSTEM
  ibrav = 0, nat = 4, ntyp = 3
/
ATOMIC_SPECIES
Al 26.98 Al.upf
Li 6.94 Li.upf
Cl 35.45 Cl.upf
ATOMIC_POSITIONS crystal
Al 0.543 0.543 0.000
Li 0.250 0.750 0.500
Cl 0.750 0.250 0.500
Al 0.957 0.957 0.000
CELL_PARAMETERS angstrom
8.998 0.198 -0.006
7.706 4.654 0.001
-8.351 -2.433 2.322


No. 2
! Mn4ZnOs PBE-GGA relaxed; values from VASP
! * E_form: 158 meV per atom
! * space-group type: No. 216
! * density: 11032 kg/m³
! * crystal system: cubic
! * DFT total energy: -48.2 eV per cell
! * volume: 72 Å³/cell
&SYSTEM
  ibrav = 0, nat = 6, ntyp = 3
/
ATOMIC_SPECIES
Mn 54.94 Mn.upf
Zn 65.41 Zn.upf
Os 190.23 Os.upf
ATOMIC_POSITIONS crystal
Mn 0.627 0.627 0.120
Zn 0.000 0.000 0.000
Mn 0.120 0.627 0.627
Mn 0.627 0.120 0.627
Mn 0.627 0.627 0.627
Os 0.250 0.250 0.250
CELL_PARAMETERS angstrom
-3.616 -2.639 -1.294
-3.085 -1.446 3.179
-4.310 1.772 0.038


No. 3
! Cs3U2VTe6 PBE-GGA relaxed; values from VASP
! * space-group type: No. 12
! * density: 6098 kg/m³
! * crystal system: monoclinic
! * DFT total energy: -62.1 eV per cell
! * E_form (uncorrected): -9.03 eV per formula unit
! * volume: 461 Å³/cell
&SYSTEM
  ibrav = 0, nat = 12, ntyp = 4
/
ATOMIC_SPECIES
Te 127.60 Te.upf
U 238.03 U.upf
Cs 132.91 Cs.upf
V 50.94 V.upf
ATOMIC_POSITIONS crystal
Te 0.252 0.252 0.813
Te 0.939 0.624 0.816
U 0.666 0.334 0.000
Cs 0.173 0.827 0.500
V 0.000 0.000 0.000
Te 0.376 0.061 0.184
Cs 0.500 0.500 0.500
Cs 0.827 0.173 0.500
Te 0.748 0.748 0.187
Te 0.061 0.376 0.184
Te 0.624 0.939 0.816
U 0.334 0.666 0.000
CELL_PARAMETERS angstrom
7.714 -0.004 -0.003
-3.859 6.679 -0.003
-1.288 -2.231 8.942


No. 4
! Mg6TlRh5 PBE-GGA relaxed; values from VASP
! * E_form: -421 meV per atom
! * space-group type: No. 10
! * density: 7433 kg/m³
! * crystal system: monoclinic
! * DFT total energy: -53.7 eV per cell
! * volume: 193 Å³/cell
&SYSTEM
  ibrav = 0, nat = 12, ntyp = 3
/
ATOMIC_SPECIES
Mg 24.30 Mg.upf
Tl 204.38 Tl.upf
Rh 102.91 Rh.upf
ATOMIC_POSITIONS crystal
Mg 0.174 0.263 0.351
Mg 0.826 0.737 0.649
Mg 0.500 0.275 0.000
Tl 0.000 0.000 0.000
Rh 0.340 0.000 0.677
Rh 0.000 0.500 0.000
Rh 0.337 0.500 0.672
Mg 0.174 0.737 0.351
Rh 0.660 0.000 0.323
Mg 0.826 0.263 0.649
Mg 0.500 0.725 0.000
Rh 0.663 0.500 0.328
CELL_PARAMETERS angstrom
4.368 0.002 -0.929
-0.003 6.455 -0.001
-0.841 0.000 7.031